Computed, not measured: crystalline SnMo2Se at its relaxed geometry at the GGA-PBE level of DFT.

Calculated values
Symmetry = I-42d
Energy above the lowest structure with this stoichiometry = 0.1505 eV per atom
E_form (uncorrected) = 0.522 eV/atom
Total moment = 0.00 μB per formula unit

Cell: 4.210 4.210 9.593 Å, 77.32 77.32 90.00°
Sites, in units of the cell vectors:
Mo 0.201 0.625 0.250
Se 0.250 0.750 0.500
Mo 0.549 0.125 0.250
Sn 0.750 0.250 0.500
Sn 0.000 0.000 0.000
Mo 0.875 0.799 0.750
Se 0.500 0.500 0.000
Mo 0.375 0.451 0.750